Tc3OsC: relaxed, PBE.

Lattice parameters (Å, degrees): 4.6963 4.6963 4.6963 90.00 90.00 90.00
Positions (direct):
Tc1 0.0000 0.0000 0.5000
Tc2 0.0000 0.5000 0.0000
Tc3 0.5000 0.0000 0.0000
Os1 0.0000 0.0000 0.0000
C1 0.5000 0.5000 0.5000

symmetry: Pm-3m, No. 221
uncorrected energy: -7.289 eV per atom
ΔE_f: 3021 meV per atom
total moment: 2.30 μB per formula unit
crystal system: cubic
offset from the most stable computed form: 13.97 eV/f.u.



Tc2OsC: relaxed, PBE.

Lattice parameters (Å, degrees): 6.1603 6.1603 6.1603 131.43 131.43 71.14
Positions (direct):
Tc1 0.0545 0.6250 0.9295
Tc2 0.3750 0.3045 0.4295
Tc3 0.6955 0.1250 0.0705
Tc4 0.8750 0.9455 0.5705
Os1 0.2500 0.7500 0.5000
Os2 0.5000 0.5000 0.0000
C1 0.0000 0.0000 0.0000
C2 0.7500 0.2500 0.5000

symmetry: I-42d, No. 122
uncorrected energy: -9.502 eV per atom
ΔE_f: 794 meV per atom
total moment: 0.00 μB per formula unit
crystal system: tetragonal



Tc2OsC: relaxed, PBE.

Lattice parameters (Å, degrees): 7.4043 7.4043 7.4043 21.87 21.87 21.87
Positions (direct):
Tc1 0.2293 0.2293 0.2293
Tc2 0.7707 0.7707 0.7707
Os1 0.0000 0.0000 0.0000
C1 0.5000 0.5000 0.5000

symmetry: R-3m, No. 166
uncorrected energy: -10.028 eV per atom
ΔE_f: 269 meV per atom
total moment: 0.00 μB per formula unit
crystal system: trigonal



TcOs3C: relaxed, PBE.

Lattice parameters (Å, degrees): 4.0424 4.0424 4.0424 90.00 90.00 90.00
Positions (direct):
Tc1 0.0000 0.0000 0.0000
Os1 0.0000 0.5000 0.5000
Os2 0.5000 0.0000 0.5000
Os3 0.5000 0.5000 0.0000
C1 0.5000 0.5000 0.5000

symmetry: Pm-3m, No. 221
uncorrected energy: -10.081 eV per atom
ΔE_f: 575 meV per atom
total moment: 0.00 μB per formula unit
crystal system: cubic